Below is a relaxed RbBa2TaCd crystal, with properties calculated at the PBE-GGA level.

Summary:
Volume   247.42 Å³ per cell
Formation enthalpy at 0 K   1.064 eV per atom

a b c (Å): 6.098 6.653 6.098
angles (deg): 90.00 90.00 90.00
Fractional coordinates of all 5 atoms:
Rb1 0.000 0.500 0.000
Ba1 0.000 0.000 0.500
Ba2 0.500 0.000 0.000
Ta1 0.000 0.000 0.000
Cd1 0.500 0.500 0.500

=====

Below is a relaxed BaSmCl5 crystal, with properties calculated at the PBE-GGA level.

Summary:
Volume   381.19 Å³ per cell
Calculated total energy   -65.2 eV per cell

a b c (Å): 5.563 6.981 10.220
angles (deg): 89.08 74.21 86.61
Fractional coordinates of all 14 atoms:
Cl1 0.724 0.098 0.067
Cl2 0.804 0.499 0.377
Cl3 0.818 0.001 0.377
Cl4 0.792 0.598 0.933
Cl5 0.182 0.999 0.623
Cl6 0.374 0.750 0.252
Cl7 0.208 0.402 0.067
Cl8 0.626 0.250 0.748
Cl9 0.196 0.501 0.623
Cl10 0.276 0.902 0.933
Ba1 0.673 0.750 0.654
Ba2 0.327 0.250 0.346
Sm1 0.077 0.250 0.847
Sm2 0.923 0.750 0.153

=====

Below is a relaxed YIr2Os2 crystal, with properties calculated at the PBE-GGA level.

Summary:
Volume   166.70 Å³ per cell
Relative energy among the computed polymorphs   0 meV/atom
Formation enthalpy at 0 K   -0.071 eV per atom

a b c (Å): 7.710 7.710 2.804
angles (deg): 90.00 90.00 90.00
Fractional coordinates of all 10 atoms:
Y1 0.000 0.000 0.000
Y2 0.500 0.500 0.000
Ir1 0.178 0.678 0.500
Ir2 0.322 0.178 0.500
Ir3 0.822 0.322 0.500
Ir4 0.678 0.822 0.500
Os1 0.120 0.380 0.000
Os2 0.620 0.120 0.000
Os3 0.880 0.620 0.000
Os4 0.380 0.880 0.000

=====

Below is a relaxed Hf2CuRe crystal, with properties calculated at the PBE-GGA level.

Summary:
Volume   147.22 Å³ per cell
Formation enthalpy at 0 K   0.353 eV per atom

a b c (Å): 7.235 7.235 5.838
angles (deg): 51.71 51.71 90.00
Fractional coordinates of all 8 atoms:
Cu1 0.250 0.750 0.500
Cu2 0.500 0.500 0.000
Hf1 0.130 0.625 0.250
Hf2 0.620 0.125 0.250
Hf3 0.875 0.870 0.750
Hf4 0.375 0.380 0.750
Re1 0.000 0.000 0.000
Re2 0.750 0.250 0.500